This record from Alexandria via LeMat-Bulk describes a geometry-optimized Ta2CoBr structure. The functional is PBE.

**Total magnetic moment**: 0.0 μB per cell
**Formation energy from raw total energies**: 86.1 meV/atom
**Calculated density**: 10674 kg/m³

Cell lengths 3.6825, 3.6825, 6.9633 Å; angles 74.71, 74.71, 60.01 degrees
Sites, in units of the cell vectors:
1 Br 0.7500 0.7500 0.7500
2 Co 0.2500 0.2500 0.2500
3 Ta 0.9718 0.9718 0.0843
4 Ta 0.5282 0.5282 0.4157